Computed, not measured: crystalline Tm2FeHg at its relaxed geometry at the GGA-PBE level of DFT.

Output
As for the density of states at the Fermi level: 4.1 states/eV/cell. Its spin magnetization is 0.000 μB/atom. For the energy above the lowest structure with this stoichiometry, the calculation gives 0 meV/atom. As for the calculated total energy: -4.645 eV per atom. The value obtained for the volume is 21.16 Å³/atom. The value obtained for the formation energy is -0.218 eV/atom.

a b c (Å): 3.361 3.361 7.492
angles (deg): 90.00 90.00 90.00
Space group P4/mmm (No. 123)
Unique sites:
1 Tm 0.000 0.000 0.212 (multiplicity 2)
2 Fe 0.500 0.500 0.000 (multiplicity 1)
3 Hg 0.500 0.500 0.500 (multiplicity 1)